# 1
# Pm5Pr4Sn2 PBE relaxed
# calculated density	6.42	Mg/m³
# E_form	0.068	eV per atom
data_Pm5Pr4Sn2
_chemical_formula_sum 'Pm5 Pr4 Sn2'
_cell_length_a 5.346
_cell_length_b 5.346
_cell_length_c 16.238
_cell_angle_alpha 80.52
_cell_angle_beta 80.52
_cell_angle_gamma 60.00
_symmetry_space_group_name_H-M 'P 1'
_symmetry_Int_Tables_number 1
_symmetry_space_group_name_Hall 'P 1'
loop_
_atom_site_label
_atom_site_fract_x
_atom_site_fract_y
_atom_site_fract_z
Pr1 0.573 0.573 0.282
Pr2 0.427 0.427 0.718
Pr3 0.274 0.274 0.177
Pr4 0.726 0.726 0.823
Sn1 0.877 0.877 0.368
Sn2 0.123 0.123 0.632
Pm1 0.648 0.648 0.055
Pm2 0.352 0.352 0.945
Pm3 0.500 0.500 0.500
Pm4 0.196 0.196 0.412
Pm5 0.804 0.804 0.588

---

# 2
# Pm10In3Bi3 PBE relaxed
# calculated density	7.87	Mg/m³
# E_form	-0.569	eV per atom
data_Pm10In3Bi3
_chemical_formula_sum 'Pm10 In3 Bi3'
_cell_length_a 6.779
_cell_length_b 9.330
_cell_length_c 9.330
_cell_angle_alpha 120.00
_cell_angle_beta 90.00
_cell_angle_gamma 90.00
_symmetry_space_group_name_H-M 'P 1'
_symmetry_Int_Tables_number 1
_symmetry_space_group_name_Hall 'P 1'
loop_
_atom_site_label
_atom_site_fract_x
_atom_site_fract_y
_atom_site_fract_z
Pm1 0.000 0.000 0.237
Pm2 0.500 0.000 0.761
Pm3 0.246 0.667 0.333
Pm4 0.000 0.763 0.763
Pm5 0.000 0.237 0.000
Pm6 0.754 0.333 0.667
Pm7 0.500 0.239 0.239
Pm8 0.246 0.333 0.667
Pm9 0.754 0.667 0.333
Pm10 0.500 0.761 0.000
Bi1 0.500 0.000 0.393
Bi2 0.500 0.393 0.000
Bi3 0.500 0.607 0.607
In1 0.000 0.396 0.396
In2 0.000 0.604 0.000
In3 0.000 0.000 0.604

---

# 3
# Re2WSe PBE relaxed
# energy relative to the elements, uncorrected	1.240	eV per atom
# calculated density	11.71	Mg/m³
data_Re2WSe
_chemical_formula_sum 'Re4 W2 Se2'
_cell_length_a 5.636
_cell_length_b 5.636
_cell_length_c 6.932
_cell_angle_alpha 66.01
_cell_angle_beta 66.01
_cell_angle_gamma 90.00
_symmetry_space_group_name_H-M 'P 1'
_symmetry_Int_Tables_number 1
_symmetry_space_group_name_Hall 'P 1'
loop_
_atom_site_label
_atom_site_fract_x
_atom_site_fract_y
_atom_site_fract_z
Se1 0.250 0.750 0.500
Se2 0.500 0.500 0.000
Re1 0.875 0.866 0.750
Re2 0.134 0.625 0.250
Re3 0.616 0.125 0.250
Re4 0.375 0.384 0.750
W1 0.000 0.000 0.000
W2 0.750 0.250 0.500

---

# 4
# CsNa3Nb PBE relaxed
# excess energy over the best structure of this formula in the dataset	0.0	kJ/mol of atoms
# calculated density	1.96	Mg/m³
# E_form	0.935	eV per atom
data_CsNa3Nb
_chemical_formula_sum 'Cs1 Na3 Nb1'
_cell_length_a 6.297
_cell_length_b 6.297
_cell_length_c 6.297
_cell_angle_alpha 90.00
_cell_angle_beta 90.00
_cell_angle_gamma 90.00
_symmetry_space_group_name_H-M 'P 1'
_symmetry_Int_Tables_number 1
_symmetry_space_group_name_Hall 'P 1'
loop_
_atom_site_label
_atom_site_fract_x
_atom_site_fract_y
_atom_site_fract_z
Nb1 0.000 0.000 0.000
Na1 0.500 0.000 0.000
Na2 0.000 0.000 0.500
Na3 0.000 0.500 0.000
Cs1 0.500 0.500 0.500

---

# 5
# LiCeSi2Pt5 PBE relaxed
# energy relative to the elements, uncorrected	-0.702	eV per atom
# calculated density	11.65	Mg/m³
data_LiCeSi2Pt5
_chemical_formula_sum 'Li1 Ce1 Si2 Pt5'
_cell_length_a 4.067
_cell_length_b 4.067
_cell_length_c 10.159
_cell_angle_alpha 90.00
_cell_angle_beta 90.00
_cell_angle_gamma 90.00
_symmetry_space_group_name_H-M 'P 1'
_symmetry_Int_Tables_number 1
_symmetry_space_group_name_Hall 'P 1'
loop_
_atom_site_label
_atom_site_fract_x
_atom_site_fract_y
_atom_site_fract_z
Si1 0.500 0.500 0.267
Si2 0.500 0.500 0.733
Ce1 0.000 0.000 0.500
Pt1 0.000 0.500 0.151
Pt2 0.000 0.500 0.849
Pt3 0.500 0.000 0.151
Pt4 0.500 0.500 0.500
Pt5 0.500 0.000 0.849
Li1 0.000 0.000 0.000

---

# 6
# Mg2BAsOs PBE relaxed
# calculated density	6.72	Mg/m³
# E_form	0.119	eV per atom
data_Mg2BAsOs
_chemical_formula_sum 'Mg2 B1 As1 Os1'
_cell_length_a 4.461
_cell_length_b 4.033
_cell_length_c 4.461
_cell_angle_alpha 90.00
_cell_angle_beta 90.00
_cell_angle_gamma 90.00
_symmetry_space_group_name_H-M 'P 1'
_symmetry_Int_Tables_number 1
_symmetry_space_group_name_Hall 'P 1'
loop_
_atom_site_label
_atom_site_fract_x
_atom_site_fract_y
_atom_site_fract_z
Os1 0.000 0.500 0.000
Mg1 0.000 0.000 0.500
Mg2 0.500 0.000 0.000
B1 0.000 0.000 0.000
As1 0.500 0.500 0.500

---

| no. | uncorrected energy (eV per formula unit) |
| --- | --- |
| 1 | -50.127 |
| 2 | -76.461 |
| 3 | -36.374 |
| 4 | -10.206 |
| 5 | -55.218 |
| 6 | -25.153 |